{"formula": "Li4Al3Cr3Sb2O16", "functional": "PBE+U", "state": "optimized geometry", "lattice_angstrom": [[-4.793, -2.861, 1.759], [2.140, -0.909, -5.384], [5.478, -7.051, 3.458]], "species": ["Li", "Li", "Li", "Li", "Al", "Al", "Al", "Cr", "Cr", "Cr", "Sb", "Sb", "O", "O", "O", "O", "O", "O", "O", "O", "O", "O", "O", "O", "O", "O", "O", "O"], "frac_coords": [[0.669, 0.337, 0.095], [0.997, 0.995, 0.014], [0.998, 0.995, 0.510], [0.334, 0.668, 0.592], [0.830, 0.660, 0.785], [0.660, 0.832, 0.286], [0.172, 0.832, 0.286], [0.171, 0.342, 0.286], [0.831, 0.170, 0.786], [0.340, 0.170, 0.786], [0.668, 0.335, 0.511], [0.335, 0.670, 0.014], [0.518, 0.035, 0.655], [0.677, 0.354, 0.889], [0.990, 0.979, 0.697], [0.991, 0.982, 0.202], [0.163, 0.325, 0.909], [0.834, 0.667, 0.399], [0.343, 0.686, 0.386], [0.484, 0.968, 0.160], [0.829, 0.156, 0.402], [0.327, 0.156, 0.402], [0.966, 0.487, 0.658], [0.521, 0.487, 0.658], [0.489, 0.526, 0.160], [0.037, 0.526, 0.160], [0.670, 0.828, 0.902], [0.159, 0.828, 0.902]], "magmom_total_mub_per_fu": 9.00, "total_energy_ev_per_atom": -6.809}